Crystalline Mn2SiTcS at its relaxed geometry, computed with PBEsol.

abc: 4.3511 4.3511 4.4193
angles: 90.00 90.00 90.00
With the nearest neighbours (Å) after each atom.
Fractional positions:
1 Mn 0.0000 0.5000 0.0000  2 Si 2.18
2 Mn 0.5000 0.0000 0.0000  2 Si 2.18
3 Si 0.0000 0.0000 0.0000  4 Mn 2.18, 2 S 2.21
4 Tc 0.5000 0.5000 0.5000  4 S 3.08, 8 Mn 3.10
5 S 0.0000 0.0000 0.5000  2 Si 2.21

Calculated values
- ΔE_f (raw) (meV per atom) = 1314
- size of the total moment (μB per atom) = 1.809
- space-group type = P4/mmm
- uncorrected energy (eV/atom) = -6.87